# HfSc2Zn PBE optimized geometry
data_HfSc2Zn
_cell_length_a 4.3534
_cell_length_b 4.3534
_cell_length_c 4.3522
_cell_angle_alpha 90.00
_cell_angle_beta 90.00
_cell_angle_gamma 90.00
_symmetry_space_group_name_H-M 'P 4/m m m'
_symmetry_Int_Tables_number 123
_symmetry_space_group_name_Hall '-P 4 2'
loop_
_atom_site_label
_atom_site_type_symbol
_atom_site_fract_x
_atom_site_fract_y
_atom_site_fract_z
_atom_site_occupancy
Hf1 Hf 0.0000 0.0000 0.0000 1
Sc1 Sc 0.0000 0.5000 0.5000 1
Zn1 Zn 0.5000 0.5000 0.0000 1
# Raw total energy ... -24.0 eV for the cell shown
# Crystal system ... tetragonal
# Size of the total moment ... 0.003 μB/cell
# E_form ... -0.035 eV per atom